# CaPr5Sm3

A geometry-optimized CaPr5Sm3 structure (PBE, Alexandria).

Distance to the lowest polymorph of the same formula, meV/atom: 292
Formation energy from the elements, eV per atom: 0.46

Cell and atoms, written as CIF:
```
data_CaPr5Sm3
_space_group_name_H-M_alt 'P 1'
_space_group_IT_number 1
_cell_length_a 9.8034
_cell_length_b 9.8034
_cell_length_c 10.1785
_cell_angle_alpha 120.23
_cell_angle_beta 120.23
_cell_angle_gamma 74.26
loop_
_space_group_symop_operation_xyz
'x,y,z'
loop_
_atom_site_label
_atom_site_type_symbol
_atom_site_fract_x
_atom_site_fract_y
_atom_site_fract_z
Ca1 Ca 0.2480 0.2480 0.4086
Ca2 Ca 0.7520 0.7520 0.5914
Pr1 Pr 0.1081 0.5994 0.2564
Pr2 Pr 0.2243 0.2243 0.0447
Pr3 Pr 0.2527 0.7473 0.0000
Pr4 Pr 0.2686 0.2686 0.7733
Pr5 Pr 0.4006 0.8919 0.7436
Pr6 Pr 0.5994 0.1081 0.2564
Pr7 Pr 0.7314 0.7314 0.2267
Pr8 Pr 0.7473 0.2527 0.0000
Pr9 Pr 0.7757 0.7757 0.9553
Pr10 Pr 0.8919 0.4006 0.7436
Sm1 Sm 0.0000 0.0000 0.0000
Sm2 Sm 0.0073 0.0073 0.3485
Sm3 Sm 0.4921 0.4921 0.1743
Sm4 Sm 0.5000 0.5000 0.5000
Sm5 Sm 0.5079 0.5079 0.8257
Sm6 Sm 0.9927 0.9927 0.6515
```